The following is a GGA-PBE calculation of K8TeP2 after structural relaxation, from the Alexandria database.

The space group is Immm (No. 71) and the conventional cell measures 5.471, 8.536 and 16.754 Å, with angles of 90.00, 90.00 and 90.00 degrees. The asymmetric unit holds K at (0.000, 0.000, 0.166), K at (0.000, 0.222, 0.338), K at (0.000, 0.302, 0.000), Te at (0.000, 0.500, 0.500) and P at (0.000, 0.500, 0.182).



The following is a GGA-PBE calculation of K6TeP2 after structural relaxation, from the Alexandria database.

The space group is P4/mnc (No. 128) and the conventional cell measures 8.951, 8.951 and 11.479 Å, with angles of 90.00, 90.00 and 90.00 degrees. The asymmetric unit holds K at (0.000, 0.000, 0.224), K at (0.123, 0.344, 0.500), Te at (0.000, 0.000, 0.500) and P at (0.000, 0.500, 0.250).



The following is a GGA-PBE calculation of K2TeP after structural relaxation, from the Alexandria database.

The space group is R-3m (No. 166, hexagonal axes) and the conventional cell measures 3.6990, 3.6990 and 31.8839 Å, with angles of 90.00, 90.00 and 120.00 degrees. The asymmetric unit holds K at (0.0000, 0.0000, 0.2434), Te at (0.0000, 0.0000, 0.0000) and P at (0.0000, 0.0000, 0.5000).



The following is a GGA-PBE calculation of K2TeP after structural relaxation, from the Alexandria database.

The space group is Fm-3m (No. 225) and the conventional cell measures 8.006, 8.006 and 8.006 Å, with angles of 90.00, 90.00 and 90.00 degrees. The asymmetric unit holds K at (0.250, 0.250, 0.250), Te at (0.000, 0.000, 0.000) and P at (0.000, 0.000, 0.500).



The following is a GGA-PBE calculation of K8Te2P after structural relaxation, from the Alexandria database.

The space group is Immm (No. 71) and the conventional cell measures 5.854, 7.945 and 19.225 Å, with angles of 90.00, 90.00 and 90.00 degrees. The asymmetric unit holds K at (0.000, 0.000, 0.202), K at (0.000, 0.237, 0.373), K at (0.000, 0.238, 0.000), Te at (0.000, 0.500, 0.192) and P at (0.000, 0.500, 0.500).



The following is a GGA-PBE calculation of K2TeP after structural relaxation, from the Alexandria database.

The space group is F-43m (No. 216) and the conventional cell measures 7.899, 7.899 and 7.899 Å, with angles of 90.00, 90.00 and 90.00 degrees. The asymmetric unit holds K at (0.000, 0.000, 0.000), K at (0.250, 0.250, 0.250), Te at (0.250, 0.250, 0.750) and P at (0.000, 0.000, 0.500).



The following is a GGA-PBE calculation of KTeP2 after structural relaxation, from the Alexandria database.

The space group is R3m (No. 160, hexagonal axes) and the conventional cell measures 3.4777, 3.4777 and 31.1409 Å, with angles of 90.00, 90.00 and 120.00 degrees. The asymmetric unit holds K at (0.0000, 0.0000, 0.0000), Te at (0.0000, 0.0000, 0.2431), P at (0.0000, 0.0000, 0.4539) and P at (0.0000, 0.0000, 0.7521).



The following is a GGA-PBE calculation of KTeP2 after structural relaxation, from the Alexandria database.

The space group is I4/mmm (No. 139) and the conventional cell measures 4.740, 4.740 and 8.261 Å, with angles of 90.00, 90.00 and 90.00 degrees. The asymmetric unit holds K at (0.000, 0.000, 0.000), Te at (0.000, 0.000, 0.500) and P at (0.000, 0.500, 0.250).



Number 1: formation energy from raw total energies -0.4152 eV per atom. Number 2: formation energy from raw total energies -0.0978 eV per atom. Number 3: formation energy from raw total energies -0.0256 eV per atom. Number 4: formation energy from raw total energies -0.0669 eV per atom. Number 5: formation energy from raw total energies -0.5668 eV per atom. Number 6: formation energy from raw total energies -0.0340 eV per atom. Number 7: formation energy from raw total energies -0.0446 eV per atom. Number 8: formation energy from raw total energies 0.5104 eV per atom.